Record 1
# InCo2Rh PBE-GGA optimized geometry
# - E_form: 0.33 eV per atom
data_InCo2Rh
_symmetry_space_group_name_H-M 'R -3 m'
_symmetry_Int_Tables_number 166
_symmetry_space_group_name_Hall '-R 3 2"'
_cell_length_a 2.8099
_cell_length_b 2.8099
_cell_length_c 25.4407
_cell_angle_alpha 90.00
_cell_angle_beta 90.00
_cell_angle_gamma 120.00
loop_
_atom_site_label
_atom_site_type_symbol
_atom_site_fract_x
_atom_site_fract_y
_atom_site_fract_z
_atom_site_occupancy
In1 In 0.0000 0.0000 0.0000 1
Co1 Co 0.0000 0.0000 0.2459 1
Rh1 Rh 0.0000 0.0000 0.5000 1



Record 2
# BeMo2Rh PBE-GGA optimized geometry
# - E_form: 0.02 eV per atom
data_BeMo2Rh
_symmetry_space_group_name_H-M 'C 1 2/m 1'
_symmetry_Int_Tables_number 12
_cell_length_a 5.0781
_cell_length_b 8.2129
_cell_length_c 2.6894
_cell_angle_alpha 90.00
_cell_angle_beta 93.72
_cell_angle_gamma 90.00
loop_
_symmetry_equiv_pos_as_xyz
'x,y,z'
'-x,-y,-z'
'-x,y,-z'
'x,-y,z'
'x+1/2,y+1/2,z'
'-x+1/2,-y+1/2,-z'
'-x+1/2,y+1/2,-z'
'x+1/2,-y+1/2,z'
loop_
_atom_site_label
_atom_site_type_symbol
_atom_site_fract_x
_atom_site_fract_y
_atom_site_fract_z
_atom_site_occupancy
Be1 Be 0.0000 0.0000 0.0000 1
Mo1 Mo 0.2500 0.2500 0.5000 1
Rh1 Rh 0.0000 0.5000 0.0000 1



Record 3
# PuNi3H3 PBE-GGA optimized geometry
# - Total energy: -5.668 eV/atom
data_PuNi3H3
_symmetry_space_group_name_H-M 'F m -3 m'
_symmetry_Int_Tables_number 225
_symmetry_space_group_name_Hall '-F 4 2 3'
_cell_length_a 8.5822
_cell_length_b 8.5822
_cell_length_c 8.5822
_cell_angle_alpha 90.00
_cell_angle_beta 90.00
_cell_angle_gamma 90.00
loop_
_atom_site_label
_atom_site_type_symbol
_atom_site_fract_x
_atom_site_fract_y
_atom_site_fract_z
_atom_site_occupancy
Pu1 Pu 0.2500 0.2500 0.2500 1
Ni1 Ni 0.0000 0.0000 0.1945 1
H1 H 0.0000 0.0000 0.3659 1



Record 4
# NbReMoOs PBE-GGA optimized geometry
# - E_form: 0.06 eV per atom
data_NbReMoOs
_symmetry_space_group_name_H-M 'F -4 3 m'
_symmetry_Int_Tables_number 216
_symmetry_space_group_name_Hall 'F -4 2 3'
_cell_length_a 6.3224
_cell_length_b 6.3224
_cell_length_c 6.3224
_cell_angle_alpha 90.00
_cell_angle_beta 90.00
_cell_angle_gamma 90.00
loop_
_atom_site_label
_atom_site_type_symbol
_atom_site_fract_x
_atom_site_fract_y
_atom_site_fract_z
_atom_site_occupancy
Nb1 Nb 0.0000 0.0000 0.0000 1
Re1 Re 0.0000 0.0000 0.5000 1
Mo1 Mo 0.2500 0.2500 0.7500 1
Os1 Os 0.2500 0.2500 0.2500 1



Record 5
# PrSm12Dy5 PBE-GGA optimized geometry
# - E_form: 0.02 eV per atom
data_PrSm12Dy5
_symmetry_space_group_name_H-M 'C m m m'
_symmetry_Int_Tables_number 65
_symmetry_space_group_name_Hall '-C 2 2'
_cell_length_a 15.3037
_cell_length_b 15.3090
_cell_length_c 5.1041
_cell_angle_alpha 90.00
_cell_angle_beta 90.00
_cell_angle_gamma 90.00
loop_
_atom_site_label
_atom_site_type_symbol
_atom_site_fract_x
_atom_site_fract_y
_atom_site_fract_z
_atom_site_occupancy
Pr1 Pr 0.0000 0.0000 0.0000 1
Sm1 Sm 0.1654 0.3337 0.5000 1
Sm2 Sm 0.1652 0.5000 0.0000 1
Sm3 Sm 0.1665 0.1675 0.0000 1
Sm4 Sm 0.1673 0.0000 0.5000 1
Dy1 Dy 0.0000 0.1681 0.5000 1
Dy2 Dy 0.0000 0.3335 0.0000 1
Dy3 Dy 0.0000 0.5000 0.5000 1



Record 6
# Tl3AsF6 PBE-GGA optimized geometry
# - ΔE to the lowest computed polymorph: 0.0733 eV/atom
data_Tl3AsF6
_symmetry_space_group_name_H-M 'C 1 2/m 1'
_symmetry_Int_Tables_number 12
_cell_length_a 8.8231
_cell_length_b 11.1040
_cell_length_c 7.0961
_cell_angle_alpha 90.00
_cell_angle_beta 110.82
_cell_angle_gamma 90.00
loop_
_symmetry_equiv_pos_as_xyz
'x,y,z'
'-x,-y,-z'
'-x,y,-z'
'x,-y,z'
'x+1/2,y+1/2,z'
'-x+1/2,-y+1/2,-z'
'-x+1/2,y+1/2,-z'
'x+1/2,-y+1/2,z'
loop_
_atom_site_label
_atom_site_type_symbol
_atom_site_fract_x
_atom_site_fract_y
_atom_site_fract_z
_atom_site_occupancy
Tl1 Tl 0.0000 0.0000 0.0000 1
Tl2 Tl 0.2500 0.2500 0.5000 1
As1 As 0.0000 0.0000 0.5000 1
F1 F 0.0770 0.1374 0.7148 1
F2 F 0.2159 0.0000 0.4411 1



Record 7
# Sr3LiHo2Se6 PBE-GGA optimized geometry
# - Total energy: -4.943 eV/atom
data_Sr3LiHo2Se6
_symmetry_space_group_name_H-M 'C 1 2/m 1'
_symmetry_Int_Tables_number 12
_cell_length_a 7.3208
_cell_length_b 12.6755
_cell_length_c 7.3791
_cell_angle_alpha 90.00
_cell_angle_beta 109.28
_cell_angle_gamma 90.00
loop_
_symmetry_equiv_pos_as_xyz
'x,y,z'
'-x,-y,-z'
'-x,y,-z'
'x,-y,z'
'x+1/2,y+1/2,z'
'-x+1/2,-y+1/2,-z'
'-x+1/2,y+1/2,-z'
'x+1/2,-y+1/2,z'
loop_
_atom_site_label
_atom_site_type_symbol
_atom_site_fract_x
_atom_site_fract_y
_atom_site_fract_z
_atom_site_occupancy
Sr1 Sr 0.0000 0.0000 0.0000 1
Sr2 Sr 0.0000 0.3350 0.0000 1
Li1 Li 0.0000 0.5000 0.5000 1
Ho1 Ho 0.0000 0.1670 0.5000 1
Se1 Se 0.2396 0.0000 0.7249 1
Se2 Se 0.2435 0.3321 0.7266 1



Record 8
# SrGeSCl2 PBE-GGA optimized geometry
# - ΔE to the lowest computed polymorph: 0.0000 eV/atom
data_SrGeSCl2
_symmetry_space_group_name_H-M 'P 4/m m m'
_symmetry_Int_Tables_number 123
_symmetry_space_group_name_Hall '-P 4 2'
_cell_length_a 5.0370
_cell_length_b 5.0370
_cell_length_c 5.2375
_cell_angle_alpha 90.00
_cell_angle_beta 90.00
_cell_angle_gamma 90.00
loop_
_atom_site_label
_atom_site_type_symbol
_atom_site_fract_x
_atom_site_fract_y
_atom_site_fract_z
_atom_site_occupancy
Sr1 Sr 0.0000 0.0000 0.0000 1
Ge1 Ge 0.5000 0.5000 0.5000 1
S1 S 0.5000 0.5000 0.0000 1
Cl1 Cl 0.0000 0.5000 0.5000 1



Looking at V for the records above, in order, we have 173.96, 111.93, 632.12, 252.72, 1195.81, 649.81, 646.32, 132.88 Å³/cell.